(1)
# Y2NbReS | Alexandria via LeMat-Bulk | SCAN | single point on PBEsol structure
# Formation energy (no corrections) ... -0.0006 eV per atom
data_Y2NbReS
_symmetry_space_group_name_H-M 'P 4/m m m'
_symmetry_Int_Tables_number 123
_symmetry_space_group_name_Hall '-P 4 2'
_cell_length_a 5.080
_cell_length_b 5.080
_cell_length_c 4.289
_cell_angle_alpha 90.00
_cell_angle_beta 90.00
_cell_angle_gamma 90.00
loop_
_atom_site_label
_atom_site_type_symbol
_atom_site_fract_x
_atom_site_fract_y
_atom_site_fract_z
Y1 Y 0.000 0.500 0.000
Nb1 Nb 0.000 0.000 0.500
Re1 Re 0.500 0.500 0.500
S1 S 0.500 0.500 0.000

(2)
# NbTlRe2Se | Alexandria via LeMat-Bulk | SCAN | single point on PBEsol structure
# Formation energy (no corrections) ... 1.3891 eV per atom
data_NbTlRe2Se
_symmetry_space_group_name_H-M 'P 4/m m m'
_symmetry_Int_Tables_number 123
_symmetry_space_group_name_Hall '-P 4 2'
_cell_length_a 4.552
_cell_length_b 4.552
_cell_length_c 4.695
_cell_angle_alpha 90.00
_cell_angle_beta 90.00
_cell_angle_gamma 90.00
loop_
_atom_site_label
_atom_site_type_symbol
_atom_site_fract_x
_atom_site_fract_y
_atom_site_fract_z
Nb1 Nb 0.000 0.000 0.000
Tl1 Tl 0.500 0.500 0.000
Re1 Re 0.000 0.500 0.500
Se1 Se 0.000 0.000 0.500

(3)
# ZrNbRe2Si | Alexandria via LeMat-Bulk | SCAN | single point on PBEsol structure
# Formation energy (no corrections) ... 0.7801 eV per atom
data_ZrNbRe2Si
_symmetry_space_group_name_H-M 'P 4/m m m'
_symmetry_Int_Tables_number 123
_symmetry_space_group_name_Hall '-P 4 2'
_cell_length_a 4.396
_cell_length_b 4.396
_cell_length_c 4.709
_cell_angle_alpha 90.00
_cell_angle_beta 90.00
_cell_angle_gamma 90.00
loop_
_atom_site_label
_atom_site_type_symbol
_atom_site_fract_x
_atom_site_fract_y
_atom_site_fract_z
Zr1 Zr 0.000 0.000 0.000
Nb1 Nb 0.500 0.500 0.000
Re1 Re 0.000 0.500 0.500
Si1 Si 0.000 0.000 0.500

(4)
# TaNbRe2 | Alexandria via LeMat-Bulk | SCAN | single point on PBEsol structure
# Energy relative to the elements ... -1.85 eV/f.u.
data_TaNbRe2
_symmetry_space_group_name_H-M 'F m -3 m'
_symmetry_Int_Tables_number 225
_symmetry_space_group_name_Hall '-F 4 2 3'
_cell_length_a 6.343
_cell_length_b 6.343
_cell_length_c 6.343
_cell_angle_alpha 90.00
_cell_angle_beta 90.00
_cell_angle_gamma 90.00
loop_
_atom_site_label
_atom_site_type_symbol
_atom_site_fract_x
_atom_site_fract_y
_atom_site_fract_z
Ta1 Ta 0.000 0.000 0.000
Nb1 Nb 0.000 0.000 0.500
Re1 Re 0.250 0.250 0.250